1.
The following is a PBE-GGA calculation of crystalline Cs2RbNbTe4 at its relaxed geometry, from OQMD.

Cell: 7.9476 7.9476 7.9476 Å, 108.38 108.38 111.69°
Last column: nearest neighbours and their distance in Å.
Sites, in units of the cell vectors:
1 Cs 0.5000 0.0000 0.5000  4 Te 3.79
2 Cs 0.0000 0.5000 0.5000  4 Te 3.79
3 Nb 0.0000 0.0000 0.0000  4 Te 2.64
4 Rb 0.5000 0.5000 0.0000  4 Te 3.65
5 Te 0.3343 0.0057 0.0000  1 Nb 2.64
6 Te 0.0057 0.3343 0.0000  1 Nb 2.64
7 Te 0.9943 0.9943 0.3286  1 Nb 2.64
8 Te 0.6657 0.6657 0.6714  1 Nb 2.64

Summary:
VASP energy   -31.8 eV per cell
M_tot   0.01 μB/cell



2.
The following is a PBE-GGA calculation of crystalline CsNbRe at its relaxed geometry, from OQMD.

Cell: 4.5662 4.5662 4.5662 Å, 60.00 60.00 60.00°
Last column: nearest neighbours and their distance in Å.
Sites, in units of the cell vectors:
1 Cs 0.0000 0.0000 0.0000  4 Nb 2.80, 4 Re 2.80
2 Nb 0.2500 0.2500 0.2500  4 Cs 2.80
3 Re 0.7500 0.7500 0.7500  4 Cs 2.80

Summary:
E above lowest polymorph   96.7 kJ per mole of atoms
M_tot   0.01 μB/cell



3.
The following is a PBE-GGA calculation of crystalline CsNbRe at its relaxed geometry, from OQMD.

Cell: 4.6887 4.6887 4.6887 Å, 60.00 60.00 60.00°
Last column: nearest neighbours and their distance in Å.
Sites, in units of the cell vectors:
1 Cs 0.2500 0.2500 0.2500  4 Nb 2.87
2 Nb 0.0000 0.0000 0.0000  4 Cs 2.87, 4 Re 2.87
3 Re 0.7500 0.7500 0.7500  4 Nb 2.87

Summary:
E above lowest polymorph   0.0 kJ per mole of atoms
M_tot   0.47 μB/cell



4.
The following is a PBE-GGA calculation of crystalline Cs4Nb2S11 at its relaxed geometry, from OQMD.

Cell: 14.0934 8.1232 18.5750 Å, 90.00 90.00 90.00°
Last column: nearest neighbours and their distance in Å.
Sites, in units of the cell vectors:
1 Cs 0.9231 0.3184 0.0072  8 S 3.50-3.90
2 Cs 0.4231 0.6816 0.0072  8 S 3.50-3.90
3 Cs 0.2875 0.3093 0.1571  8 S 3.53-3.70
4 Cs 0.7875 0.6907 0.1571  8 S 3.53-3.70
5 Cs 0.9548 0.3007 0.3054  8 S 3.56-3.98
6 Cs 0.4548 0.6993 0.3054  8 S 3.56-3.98
7 Cs 0.2669 0.1604 0.4082  7 S 3.39-3.74
8 Cs 0.7669 0.8396 0.4082  7 S 3.39-3.74
9 Cs 0.5769 0.3184 0.5072  8 S 3.50-3.90
10 Cs 0.0769 0.6816 0.5072  8 S 3.50-3.90
11 Cs 0.2125 0.3093 0.6571  8 S 3.53-3.70
12 Cs 0.7125 0.6907 0.6571  8 S 3.53-3.70
13 Cs 0.5452 0.3007 0.8054  8 S 3.56-3.98
14 Cs 0.0452 0.6993 0.8054  8 S 3.56-3.98
15 Cs 0.2331 0.1604 0.9082  7 S 3.39-3.74
16 Cs 0.7331 0.8396 0.9082  7 S 3.39-3.74
17 Nb 0.5710 0.2357 0.0637  5 S 2.25-2.50
18 Nb 0.0710 0.7643 0.0637  5 S 2.25-2.50
19 Nb 0.6233 0.2803 0.2494  5 S 2.26-2.52
20 Nb 0.1233 0.7197 0.2494  5 S 2.26-2.52
21 Nb 0.9290 0.2357 0.5637  5 S 2.25-2.50
22 Nb 0.4290 0.7643 0.5637  5 S 2.25-2.50
23 Nb 0.8767 0.2803 0.7494  5 S 2.26-2.52
24 Nb 0.3767 0.7197 0.7494  5 S 2.26-2.52
25 S 0.6686 0.4599 0.0112  1 S 2.07
26 S 0.1686 0.5401 0.0112  1 S 2.07
27 S 0.1040 0.0612 0.0787  1 S 2.08
28 S 0.6040 0.9388 0.0787  1 S 2.08
29 S 0.7413 0.2542 0.1495  1 S 2.08
30 S 0.2413 0.7458 0.1495  1 S 2.08
31 S 0.5354 0.4517 0.1574  2 Nb 2.52-2.53
32 S 0.0354 0.5483 0.1574  2 Nb 2.52-2.53
33 S 0.5258 0.0422 0.1622  1 S 2.08
34 S 0.0258 0.9578 0.1622  1 S 2.08
35 S 0.7554 0.0851 0.2326  1 S 2.08
36 S 0.2554 0.9149 0.2326  1 S 2.08
37 S 0.4634 0.2416 0.3002  1 S 2.08
38 S 0.9634 0.7584 0.3002  1 S 2.08
39 S 0.6862 0.4872 0.3149  1 Nb 2.26
40 S 0.1862 0.5128 0.3149  1 Nb 2.26
41 S 0.5649 0.0903 0.3472  1 S 2.08
42 S 0.0649 0.9097 0.3472  1 S 2.08
43 S 0.8131 0.2337 0.4616  1 S 2.07
44 S 0.3131 0.7663 0.4616  1 S 2.07
45 S 0.0647 0.2470 0.4999  1 Nb 2.25
46 S 0.5647 0.7530 0.4999  1 Nb 2.25
47 S 0.8314 0.4599 0.5112  1 S 2.07
48 S 0.3314 0.5401 0.5112  1 S 2.07
49 S 0.3960 0.0612 0.5787  1 S 2.08
50 S 0.8960 0.9388 0.5787  1 S 2.08
51 S 0.7587 0.2542 0.6495  1 S 2.08
52 S 0.2587 0.7458 0.6495  1 S 2.08
53 S 0.9646 0.4517 0.6574  2 Nb 2.52-2.53
54 S 0.4646 0.5483 0.6574  2 Nb 2.52-2.53
55 S 0.9742 0.0422 0.6622  1 S 2.08
56 S 0.4742 0.9578 0.6622  1 S 2.08
57 S 0.7446 0.0851 0.7326  1 S 2.08
58 S 0.2446 0.9149 0.7326  1 S 2.08
59 S 0.0366 0.2416 0.8002  1 S 2.08
60 S 0.5366 0.7584 0.8002  1 S 2.08
61 S 0.8138 0.4872 0.8149  1 Nb 2.26
62 S 0.3138 0.5128 0.8149  1 Nb 2.26
63 S 0.9351 0.0903 0.8472  1 S 2.08
64 S 0.4351 0.9097 0.8472  1 S 2.08
65 S 0.6869 0.2337 0.9616  1 S 2.07
66 S 0.1869 0.7663 0.9616  1 S 2.07
67 S 0.4353 0.2470 0.9999  1 Nb 2.25
68 S 0.9353 0.7530 0.9999  1 Nb 2.25

Summary:
VASP energy   -339.8 eV per cell
M_tot   0.00 μB/cell



> M_tot of number 3 (CsNbRe)?

0.47 μB/cell



> What is the M_tot in the third record?

0.47 μB/cell